# 1
Computed, not measured: a crystal of HoPd relaxed with PBEsol at the SCAN level of DFT.

The structure in POSCAR format:
```
HoPd
1.0
3.434 0.000 0.000
0.000 3.434 0.000
0.000 0.000 3.434
Ho Pd
1 1
direct
0.000 0.000 0.000
0.500 0.500 0.500
```

- Fermi-level density of states (states/eV per cell) = 1.03
- SG = No. 221
- total DFT energy (no corrections) (eV per atom) = -41.885

# 2
Computed, not measured: a crystal of InTcO3 relaxed with PBEsol at the SCAN level of DFT.

The structure in POSCAR format:
```
InTcO3
1.0
4.065 0.000 0.000
0.000 4.065 0.000
0.000 0.000 4.065
Tc O In
1 3 1
direct
0.500 0.500 0.500
0.000 0.500 0.000
0.000 0.000 0.500
0.500 0.000 0.000
0.000 0.000 0.000
```

- Fermi-level density of states (states/eV per cell) = 5.98
- SG = No. 221
- total DFT energy (no corrections) (eV per atom) = -17.676

# 3
Computed, not measured: a crystal of LiCuPO4 relaxed with PBEsol at the SCAN level of DFT.

The structure in POSCAR format:
```
LiCuPO4
1.0
-3.221 3.482 -0.837
-3.622 -1.584 7.348
6.261 6.039 1.025
Li Cu P O
4 4 4 16
direct
0.153 0.115 0.997
0.674 0.255 0.501
0.847 0.615 0.997
0.326 0.755 0.501
0.357 0.975 0.230
0.186 0.344 0.736
0.643 0.475 0.230
0.814 0.844 0.736
0.676 0.235 0.869
0.179 0.357 0.365
0.324 0.735 0.869
0.821 0.857 0.365
0.793 0.072 0.890
0.687 0.024 0.358
0.355 0.221 0.863
0.787 0.263 0.714
0.290 0.210 0.216
0.277 0.321 0.518
0.207 0.572 0.890
0.860 0.374 0.368
0.783 0.388 0.014
0.313 0.524 0.358
0.645 0.721 0.863
0.213 0.763 0.714
0.710 0.710 0.216
0.723 0.821 0.518
0.140 0.874 0.368
0.217 0.888 0.014
```

- polymorph energy (0 for the lowest one) (meV per atom) = 22.4
- SG = No. 7

# 4
Computed, not measured: a crystal of CdTeAu relaxed with PBEsol at the SCAN level of DFT.

The structure in POSCAR format:
```
CdTeAu
1.0
3.227 0.178 0.000
-0.513 3.191 0.000
-1.357 -1.685 6.425
Te Au Cd
1 1 1
direct
0.342 0.342 0.683
0.012 0.012 0.024
0.646 0.646 0.292
```

- Fermi-level density of states (states/eV per cell) = 1.48
- SG = No. 42
- total DFT energy (no corrections) (eV per atom) = -45.505

# 5
Computed, not measured: a crystal of LaBe3S relaxed with PBEsol at the SCAN level of DFT.

The structure in POSCAR format:
```
LaBe3S
1.0
4.311 0.000 0.000
0.000 4.311 0.000
0.000 0.000 4.311
Be S La
3 1 1
direct
0.000 0.500 0.000
0.000 0.000 0.500
0.500 0.000 0.000
0.000 0.000 0.000
0.500 0.500 0.500
```

- Fermi-level density of states (states/eV per cell) = 3.04
- SG = No. 221
- total DFT energy (no corrections) (eV per atom) = -12.654

# 6
Computed, not measured: a crystal of MgTl5 relaxed with PBEsol at the SCAN level of DFT.

The structure in POSCAR format:
```
MgTl5
1.0
-0.613 -3.200 -0.777
1.290 -0.960 2.938
-13.069 1.027 6.073
Mg Tl
1 5
direct
0.500 0.500 0.500
0.000 0.000 0.648
0.500 0.500 0.821
0.000 0.000 0.000
0.500 0.500 0.179
0.000 0.000 0.352
```

- Fermi-level density of states (states/eV per cell) = 2.90
- SG = No. 123
- total DFT energy (no corrections) (eV per atom) = -61.146

# 7
Computed, not measured: a crystal of YTa2RhF relaxed with PBEsol at the SCAN level of DFT.

The structure in POSCAR format:
```
YTa2RhF
1.0
-1.617 -2.774 -2.292
4.569 -2.174 -0.593
-0.846 -2.898 4.103
Y F Rh Ta
1 1 1 2
direct
0.000 0.000 0.000
0.500 0.000 0.000
0.500 0.500 0.500
0.000 0.000 0.500
0.000 0.500 0.000
```

- Fermi-level density of states (states/eV per cell) = 5.12
- SG = No. 123
- total DFT energy (no corrections) (eV per atom) = -38.464

# 8
Computed, not measured: a crystal of Ru2BrCl relaxed with PBEsol at the SCAN level of DFT.

The structure in POSCAR format:
```
Ru2BrCl
1.0
-2.353 0.996 1.747
-0.214 -2.798 1.306
3.974 1.734 4.364
Ru Br Cl
2 1 1
direct
0.000 0.000 0.744
0.000 0.000 0.256
0.500 0.500 0.000
0.500 0.500 0.500
```

- Fermi-level density of states (states/eV per cell) = 4.59
- polymorph energy (0 for the lowest one) (meV per atom) = 188.2
- SG = No. 123

# 9
Computed, not measured: a crystal of Dy7InCo4Ge12 relaxed with PBEsol at the SCAN level of DFT.

The structure in POSCAR format:
```
Dy7InCo4Ge12
1.0
4.137 0.000 0.000
0.000 10.220 0.000
0.000 0.000 10.220
Dy In Co Ge
7 1 4 12
direct
0.500 0.326 0.322
0.500 0.322 0.674
0.500 0.500 0.000
0.500 0.674 0.678
0.500 0.678 0.326
0.500 0.000 0.500
0.000 0.000 0.000
0.000 0.500 0.500
0.000 0.722 0.118
0.000 0.278 0.882
0.000 0.882 0.722
0.000 0.118 0.278
0.000 0.888 0.285
0.000 0.213 0.486
0.000 0.112 0.715
0.500 0.064 0.195
0.500 0.805 0.064
0.500 0.195 0.936
0.000 0.787 0.514
0.500 0.936 0.805
0.000 0.514 0.213
0.000 0.285 0.112
0.000 0.715 0.888
0.000 0.486 0.787
```

- Fermi-level density of states (states/eV per cell) = 10.88
- SG = No. 83
- total DFT energy (no corrections) (eV per atom) = -28.497

# 10
Computed, not measured: a crystal of MgZnGe2P relaxed with PBEsol at the SCAN level of DFT.

The structure in POSCAR format:
```
MgZnGe2P
1.0
-2.882 -1.121 -3.380
3.381 -2.691 -1.990
-1.499 -3.746 2.520
Mg P Ge Zn
1 1 2 1
direct
0.500 0.500 0.500
0.000 0.000 0.000
0.000 0.000 0.500
0.000 0.500 0.000
0.500 0.000 0.000
```

- Fermi-level density of states (states/eV per cell) = 2.63
- SG = No. 123
- total DFT energy (no corrections) (eV per atom) = -12.895

# 11
Computed, not measured: a crystal of NiSn2H12O6F6 relaxed with PBEsol at the SCAN level of DFT.

The structure in POSCAR format:
```
NiSn2H12O6F6
1.0
-1.535 -4.774 4.171
4.527 -4.822 -1.698
4.403 -0.024 5.199
Ni Sn H O F
1 2 12 6 6
direct
0.000 0.000 0.000
0.655 0.629 0.669
0.345 0.371 0.331
0.892 0.266 0.250
0.108 0.734 0.750
0.727 0.736 0.094
0.273 0.264 0.906
0.765 0.050 0.737
0.235 0.950 0.263
0.767 0.071 0.364
0.233 0.929 0.636
0.916 0.641 0.204
0.084 0.359 0.796
0.652 0.189 0.914
0.348 0.811 0.086
0.805 0.173 0.227
0.195 0.827 0.773
0.818 0.770 0.170
0.182 0.230 0.830
0.797 0.131 0.825
0.203 0.869 0.175
0.705 0.936 0.591
0.295 0.064 0.409
0.572 0.683 0.983
0.428 0.317 0.017
0.975 0.578 0.705
0.025 0.422 0.295
```

- Fermi-level density of states (states/eV per cell) = 0.00
- SG = No. 2
- total DFT energy (no corrections) (eV per atom) = -8.457

# 12
Computed, not measured: a crystal of Li2Ti3O7 relaxed with PBEsol at the SCAN level of DFT.

The structure in POSCAR format:
```
Li2Ti3O7
1.0
4.894 0.000 0.000
-2.447 5.105 0.039
0.000 -0.277 10.410
Li Ti O
4 6 14
direct
0.529 0.704 0.316
0.174 0.704 0.816
0.826 0.296 0.184
0.471 0.296 0.684
0.000 0.500 0.500
0.118 0.879 0.104
0.239 0.121 0.396
0.761 0.879 0.604
0.882 0.121 0.896
0.500 0.500 0.000
0.122 0.369 0.337
0.247 0.369 0.837
0.919 0.790 0.427
0.334 0.737 0.019
0.871 0.790 0.927
0.375 0.000 0.250
0.403 0.737 0.519
0.597 0.263 0.481
0.625 0.000 0.750
0.129 0.210 0.073
0.666 0.263 0.981
0.081 0.210 0.573
0.753 0.631 0.163
0.878 0.631 0.663
```

- Fermi-level density of states (states/eV per cell) = 0.00
- polymorph energy (0 for the lowest one) (meV per atom) = 0.0
- SG = No. 15

Summary of density in g cm⁻³
11.1, 6.4, 3.3, 10.9, 4.1, 10.7, 9.3, 8.9, 9.1, 4.3, 3.1, 3.4
(order as listed above)
Summary of volume in Å³ per atom
20.249, 13.438, 11.831, 22.254, 16.019, 27.008, 20.473, 14.734, 18.001, 20.736, 10.173, 10.838
(order as listed above)